[1]
Cd2NiSn2: relaxed, PBE-GGA.

Lattice parameters (Å, degrees): 6.858 6.858 4.961 90.00 90.00 90.00
Fractional positions:
Cd  0.152  0.348  0.000
Cd  0.348  0.848  0.000
Cd  0.652  0.152  0.000
Cd  0.848  0.652  0.000
Ni  0.000  0.000  0.000
Ni  0.500  0.500  0.000
Sn  0.175  0.675  0.500
Sn  0.325  0.175  0.500
Sn  0.675  0.825  0.500
Sn  0.825  0.325  0.500

Summary:
**Magnetic moment**: 0.0 μB/f.u.
**Volume**: 23.33 A^3/atom
**DOS(E_F)**: 0.535 states/eV/atom
**Crystal system**: tetragonal

=====

[2]
CdNi2Sn: relaxed, PBE-GGA.

Lattice parameters (Å, degrees): 5.715 5.715 5.715 104.25 104.25 120.52
Fractional positions:
Cd  0.000  0.000  0.000
Cd  0.750  0.250  0.500
Ni  0.136  0.125  0.511
Ni  0.375  0.864  0.989
Ni  0.614  0.625  0.489
Ni  0.875  0.386  0.011
Sn  0.250  0.750  0.500
Sn  0.500  0.500  0.000

Summary:
**Magnetic moment**: 0.0 μB/f.u.
**Volume**: 17.46 A^3/atom
**DOS(E_F)**: 0.536 states/eV/atom
**Crystal system**: tetragonal

=====

[3]
CdNi2Sn2: relaxed, PBE-GGA.

Lattice parameters (Å, degrees): 6.249 6.249 6.249 140.16 140.16 57.61
Fractional positions:
Cd  0.000  0.000  0.000
Ni  0.390  0.390  0.000
Ni  0.610  0.610  0.000
Sn  0.250  0.750  0.500
Sn  0.750  0.250  0.500

Summary:
**Magnetic moment**: 0.0 μB/f.u.
**Volume**: 19.85 A^3/atom
**DOS(E_F)**: 0.667 states/eV/atom
**Crystal system**: tetragonal

=====

[4]
Cd2Ni2Sn: relaxed, PBE-GGA.

Lattice parameters (Å, degrees): 7.811 7.811 2.925 90.00 90.00 90.00
Fractional positions:
Cd  0.131  0.369  0.000
Cd  0.369  0.869  0.000
Cd  0.631  0.131  0.000
Cd  0.869  0.631  0.000
Ni  0.165  0.665  0.500
Ni  0.335  0.165  0.500
Ni  0.665  0.835  0.500
Ni  0.835  0.335  0.500
Sn  0.000  0.000  0.000
Sn  0.500  0.500  0.000

Summary:
**Magnetic moment**: 0.0 μB/f.u.
**Volume**: 17.85 A^3/atom
**DOS(E_F)**: 0.726 states/eV/atom
**Crystal system**: tetragonal

=====

[5]
CdNiSn3: relaxed, PBE-GGA.

Lattice parameters (Å, degrees): 5.036 5.036 5.036 90.00 90.00 90.00
Fractional positions:
Cd  0.000  0.000  0.000
Ni  0.500  0.500  0.500
Sn  0.000  0.500  0.500
Sn  0.500  0.000  0.500
Sn  0.500  0.500  0.000

Summary:
**Magnetic moment**: 0.0 μB/f.u.
**Volume**: 25.54 A^3/atom
**DOS(E_F)**: 0.539 states/eV/atom
**Crystal system**: cubic

=====

[6]
CdNi2Sn2: relaxed, PBE-GGA.

Lattice parameters (Å, degrees): 7.854 7.854 2.988 90.00 90.00 90.00
Fractional positions:
Cd  0.000  0.000  0.000
Cd  0.500  0.500  0.000
Ni  0.131  0.369  0.500
Ni  0.369  0.869  0.500
Ni  0.631  0.131  0.500
Ni  0.869  0.631  0.500
Sn  0.158  0.658  0.000
Sn  0.342  0.158  0.000
Sn  0.658  0.842  0.000
Sn  0.842  0.342  0.000

Summary:
**Magnetic moment**: 0.0 μB/f.u.
**Volume**: 18.44 A^3/atom
**DOS(E_F)**: 0.603 states/eV/atom
**Crystal system**: tetragonal

=====

[7]
Cd2NiSn2: relaxed, PBE-GGA.

Lattice parameters (Å, degrees): 6.794 6.794 5.037 90.00 90.00 90.00
Fractional positions:
Cd  0.164  0.336  0.000
Cd  0.336  0.836  0.000
Cd  0.664  0.164  0.000
Cd  0.836  0.664  0.000
Ni  0.000  0.000  0.500
Ni  0.500  0.500  0.500
Sn  0.161  0.661  0.500
Sn  0.339  0.161  0.500
Sn  0.661  0.839  0.500
Sn  0.839  0.339  0.500

Summary:
**Magnetic moment**: 0.0 μB/f.u.
**Volume**: 23.25 A^3/atom
**DOS(E_F)**: 0.321 states/eV/atom
**Crystal system**: tetragonal

=====

[8]
CdNi3Sn5: relaxed, PBE-GGA.

Lattice parameters (Å, degrees): 7.150 7.150 9.508 114.06 114.06 75.22
Fractional positions:
Cd  0.105  0.105  0.317
Cd  0.895  0.895  0.683
Ni  0.000  0.000  0.000
Ni  0.000  0.000  0.500
Ni  0.332  0.332  0.835
Ni  0.346  0.346  0.334
Ni  0.654  0.654  0.666
Ni  0.668  0.668  0.165
Sn  0.054  0.626  0.336
Sn  0.233  0.233  0.021
Sn  0.284  0.716  0.000
Sn  0.374  0.946  0.664
Sn  0.419  0.419  0.638
Sn  0.581  0.581  0.362
Sn  0.626  0.054  0.336
Sn  0.716  0.284  0.000
Sn  0.767  0.767  0.979
Sn  0.946  0.374  0.664

Summary:
**Magnetic moment**: 0.0 μB/f.u.
**Volume**: 22.39 A^3/atom
**DOS(E_F)**: 0.475 states/eV/atom
**Crystal system**: monoclinic

=====

[9]
Cd2Ni2Sn: relaxed, PBE-GGA.

Lattice parameters (Å, degrees): 9.171 9.171 9.171 159.00 159.00 29.86
Fractional positions:
Cd  0.129  0.129  0.000
Cd  0.871  0.871  0.000
Ni  0.250  0.750  0.500
Ni  0.750  0.250  0.500
Sn  0.500  0.500  0.000

Summary:
**Magnetic moment**: 0.0 μB/f.u.
**Volume**: 19.79 A^3/atom
**DOS(E_F)**: 1.032 states/eV/atom
**Crystal system**: tetragonal

=====

[10]
CdNi2Sn2: relaxed, PBE-GGA.

Lattice parameters (Å, degrees): 4.340 4.506 9.393 90.00 90.00 90.00
Fractional positions:
Cd  0.250  0.250  0.175
Cd  0.750  0.750  0.825
Ni  0.250  0.750  0.011
Ni  0.250  0.750  0.338
Ni  0.750  0.250  0.662
Ni  0.750  0.250  0.989
Sn  0.250  0.250  0.493
Sn  0.250  0.250  0.834
Sn  0.750  0.750  0.166
Sn  0.750  0.750  0.507

Summary:
**Magnetic moment**: 0.0 μB/f.u.
**Volume**: 18.37 A^3/atom
**DOS(E_F)**: 0.377 states/eV/atom
**Crystal system**: orthorhombic

=====

[11]
CdNiSn: relaxed, PBE-GGA.

Lattice parameters (Å, degrees): 6.263 6.263 6.263 150.83 150.83 41.73
Fractional positions:
Cd  0.000  0.000  0.000
Ni  0.642  0.642  0.000
Sn  0.273  0.273  0.000

Summary:
**Magnetic moment**: 0.0 μB/f.u.
**Volume**: 19.42 A^3/atom
**DOS(E_F)**: 0.433 states/eV/atom
**Crystal system**: tetragonal

=====

[12]
Cd2Ni2Sn: relaxed, PBE-GGA.

Lattice parameters (Å, degrees): 6.736 6.736 6.736 146.36 146.36 48.31
Fractional positions:
Cd  0.250  0.750  0.500
Cd  0.750  0.250  0.500
Ni  0.094  0.094  0.000
Ni  0.906  0.906  0.000
Sn  0.500  0.500  0.000

Summary:
**Magnetic moment**: 0.0 μB/f.u.
**Volume**: 18.68 A^3/atom
**DOS(E_F)**: 0.763 states/eV/atom
**Crystal system**: tetragonal

=====

[13]
CdNi2Sn2: relaxed, PBE-GGA.

Lattice parameters (Å, degrees): 7.059 7.059 3.617 90.00 90.00 90.00
Fractional positions:
Cd  0.000  0.000  0.000
Cd  0.500  0.500  0.000
Ni  0.132  0.368  0.000
Ni  0.368  0.868  0.000
Ni  0.632  0.132  0.000
Ni  0.868  0.632  0.000
Sn  0.162  0.662  0.500
Sn  0.338  0.162  0.500
Sn  0.662  0.838  0.500
Sn  0.838  0.338  0.500

Summary:
**Magnetic moment**: 0.0 μB/f.u.
**Volume**: 18.02 A^3/atom
**DOS(E_F)**: 0.757 states/eV/atom
**Crystal system**: tetragonal

=====

[14]
CdNi2Sn2: relaxed, PBE-GGA.

Lattice parameters (Å, degrees): 8.774 8.774 8.774 157.18 157.18 32.49
Fractional positions:
Cd  0.000  0.000  0.000
Ni  0.250  0.750  0.500
Ni  0.750  0.250  0.500
Sn  0.367  0.367  0.000
Sn  0.633  0.633  0.000

Summary:
**Magnetic moment**: 0.0 μB/f.u.
**Volume**: 20.30 A^3/atom
**DOS(E_F)**: 0.592 states/eV/atom
**Crystal system**: tetragonal

=====

[15]
Cd2Ni2Sn: relaxed, PBE-GGA.

Lattice parameters (Å, degrees): 6.581 6.581 4.060 90.00 90.00 90.00
Fractional positions:
Cd  0.159  0.341  0.000
Cd  0.341  0.841  0.000
Cd  0.659  0.159  0.000
Cd  0.841  0.659  0.000
Ni  0.137  0.637  0.500
Ni  0.363  0.137  0.500
Ni  0.637  0.863  0.500
Ni  0.863  0.363  0.500
Sn  0.000  0.000  0.500
Sn  0.500  0.500  0.500

Summary:
**Magnetic moment**: 0.0 μB/f.u.
**Volume**: 17.58 A^3/atom
**DOS(E_F)**: 0.421 states/eV/atom
**Crystal system**: tetragonal

=====

[16]
CdNiSn3: relaxed, PBE-GGA.

Lattice parameters (Å, degrees): 6.744 6.744 6.577 118.25 118.25 76.83
Fractional positions:
Cd  0.050  0.050  0.254
Cd  0.950  0.950  0.746
Ni  0.263  0.263  0.127
Ni  0.737  0.737  0.873
Sn  0.018  0.415  0.748
Sn  0.415  0.018  0.748
Sn  0.437  0.437  0.668
Sn  0.563  0.563  0.332
Sn  0.585  0.982  0.252
Sn  0.982  0.585  0.252

Summary:
**Magnetic moment**: 0.0 μB/f.u.
**Volume**: 23.21 A^3/atom
**DOS(E_F)**: 0.429 states/eV/atom
**Crystal system**: monoclinic

=====

[17]
SrCdNiSn2: relaxed, PBE-GGA.

Lattice parameters (Å, degrees): 5.060 5.060 5.081 90.00 90.00 90.00
Fractional positions:
Sr  0.000  0.000  0.000
Cd  0.500  0.500  0.000
Ni  0.500  0.500  0.500
Sn  0.000  0.500  0.500
Sn  0.500  0.000  0.500

Summary:
**Magnetic moment**: 0.0 μB/f.u.
**Volume**: 26.02 A^3/atom
**DOS(E_F)**: 0.394 states/eV/atom
**Crystal system**: tetragonal

=====

[18]
Sr2CdNiSn: relaxed, PBE-GGA.

Lattice parameters (Å, degrees): 5.785 5.785 4.804 90.00 90.00 90.00
Fractional positions:
Sr  0.000  0.500  0.000
Sr  0.500  0.000  0.000
Cd  0.000  0.000  0.500
Ni  0.500  0.500  0.000
Sn  0.500  0.500  0.500

Summary:
**Magnetic moment**: 0.0 μB/f.u.
**Volume**: 32.16 A^3/atom
**DOS(E_F)**: 0.553 states/eV/atom
**Crystal system**: tetragonal

=====

[19]
TlCd2NiSn: relaxed, PBE-GGA.

Lattice parameters (Å, degrees): 5.109 5.109 4.852 90.00 90.00 90.00
Fractional positions:
Tl  0.000  0.000  0.000
Cd  0.000  0.500  0.500
Cd  0.500  0.000  0.500
Ni  0.500  0.500  0.500
Sn  0.500  0.500  0.000

Summary:
**Magnetic moment**: 0.0 μB/f.u.
**Volume**: 25.33 A^3/atom
**DOS(E_F)**: 0.382 states/eV/atom
**Crystal system**: tetragonal

=====

[20]
TlCdNiSn2: relaxed, PBE-GGA.

Lattice parameters (Å, degrees): 5.014 5.014 5.223 90.00 90.00 90.00
Fractional positions:
Tl  0.000  0.000  0.000
Cd  0.500  0.500  0.000
Ni  0.000  0.000  0.500
Sn  0.000  0.500  0.500
Sn  0.500  0.000  0.500

Summary:
**Magnetic moment**: 0.0 μB/f.u.
**Volume**: 26.27 A^3/atom
**DOS(E_F)**: 0.707 states/eV/atom
**Crystal system**: tetragonal

=====

| no. | ρ (g cm⁻³) | E_form (eV/atom) | energy (eV per atom) |
| --- | --- | --- | --- |
| 1 | 7.42 | 0.2861 | -2.84 |
| 2 | 8.29 | 0.2652 | -3.85 |
| 3 | 7.82 | 0.1596 | -3.94 |
| 4 | 8.58 | 0.1829 | -3.30 |
| 5 | 6.86 | 0.0850 | -3.66 |
| 6 | 8.42 | 0.0917 | -4.01 |
| 7 | 7.44 | 0.1129 | -3.01 |
| 8 | 7.27 | -0.0803 | -4.33 |
| 9 | 7.73 | 0.2203 | -3.26 |
| 10 | 8.45 | -0.1328 | -4.23 |
| 11 | 8.26 | 0.0235 | -3.54 |
| 12 | 8.19 | 0.2071 | -3.27 |
| 13 | 8.61 | -0.0281 | -4.12 |
| 14 | 7.64 | 0.0538 | -4.04 |
| 15 | 8.71 | -0.0104 | -3.49 |
| 16 | 7.54 | -0.0282 | -3.77 |
| 17 | 6.33 | -0.2402 | -3.52 |
| 18 | 4.80 | -0.2881 | -3.10 |
| 19 | 7.95 | 0.0221 | -2.77 |
| 20 | 7.75 | 0.0948 | -3.32 |